[1]
First-principles (PBE-GGA) data for LaEuSi after structural relaxation, as listed in Alexandria via LeMat-Bulk.

Computed properties:
* E_form (uncorrected): -0.419 eV/atom

Cell: 5.1364 5.1364 5.1364 Å, 60.00 60.00 60.00°
With the nearest neighbours (Å) after each atom.
Positions (direct):
La 0.0000 0.0000 0.0000  4 Si 3.15
Eu 0.5000 0.5000 0.5000  4 Si 3.15
Si 0.7500 0.7500 0.7500  4 La 3.15, 4 Eu 3.15

[2]
First-principles (PBE-GGA) data for TaNiW2 after structural relaxation, as listed in Alexandria via LeMat-Bulk.

Computed properties:
* calculated formation energy: 0.0238 eV/atom
* offset from the most stable computed form: 0.152 eV/f.u.

Cell: 3.2193 3.2193 5.9577 Å, 90.00 90.00 90.00°
With the nearest neighbours (Å) after each atom.
Positions (direct):
Ta 0.0000 0.0000 0.0000  4 Ni 2.67, 5 W 2.80-2.87
Ni 0.5000 0.5000 0.7666  4 Ta 2.67, 5 W 2.71-2.94
W 0.0000 0.0000 0.5186  4 W 2.71, 4 Ni 2.71, 1 Ta 2.87
W 0.5000 0.5000 0.2732  4 W 2.71, 4 Ta 2.80, 2 Ni 2.94-3.02

[3]
First-principles (PBE-GGA) data for Fe3AgCl after structural relaxation, as listed in Alexandria via LeMat-Bulk.

Computed properties:
* E_form (uncorrected): 1.437 eV/atom
* offset from the most stable computed form: 3.691 eV/f.u.

Cell: 4.8500 4.8500 4.8500 Å, 90.00 90.00 90.00°
With the nearest neighbours (Å) after each atom.
Positions (direct):
Fe 0.0000 0.0000 0.5000  2 Ag 2.42
Fe 0.0000 0.5000 0.0000  2 Ag 2.42
Fe 0.5000 0.0000 0.0000  2 Ag 2.42
Ag 0.0000 0.0000 0.0000  6 Fe 2.42
Cl 0.5000 0.5000 0.5000  12 Fe 3.43

[4]
First-principles (PBE-GGA) data for Pr6AlCd after structural relaxation, as listed in Alexandria via LeMat-Bulk.

Computed properties:
* calculated formation energy: -0.1431 eV/atom
* offset from the most stable computed form: 0.000 eV/f.u.

Cell: 4.9779 4.9779 9.9465 Å, 90.00 90.00 90.00°
With the nearest neighbours (Å) after each atom.
Positions (direct):
Pr 0.0000 0.0000 0.0000  8 Pr 3.47, 4 Al 3.52
Pr 0.0000 0.0000 0.5000  4 Cd 3.52, 8 Pr 3.57
Pr 0.0000 0.5000 0.2429  8 Pr 3.47-3.57, 2 Al 3.47, 2 Cd 3.57
Pr 0.0000 0.5000 0.7571  8 Pr 3.47-3.57, 2 Al 3.47, 2 Cd 3.57
Pr 0.5000 0.0000 0.2429  8 Pr 3.47-3.57, 2 Al 3.47, 2 Cd 3.57
Pr 0.5000 0.0000 0.7571  8 Pr 3.47-3.57, 2 Al 3.47, 2 Cd 3.57
Al 0.5000 0.5000 0.0000  12 Pr 3.47-3.52
Cd 0.5000 0.5000 0.5000  12 Pr 3.52-3.57